A plane-wave DFT calculation with PBE was carried out for a geometry-optimized In3Rh structure.

Structure (CIF):
```
data_In3Rh
_cell_length_a 3.342
_cell_length_b 4.902
_cell_length_c 5.086
_cell_angle_alpha 90.00
_cell_angle_beta 90.00
_cell_angle_gamma 90.00
_space_group_name_H-M_alt 'P 1'
_space_group_IT_number 1
_space_group_name_Hall 'P 1'
loop_
_atom_site_label
_atom_site_fract_x
_atom_site_fract_y
_atom_site_fract_z
_atom_site_occupancy
In1 0.000 0.000 0.000 1
In2 0.000 0.500 0.346 1
In3 0.500 0.000 0.524 1
Rh1 0.500 0.500 0.817 1
```

Computed properties:
Final energy ... -3.874 eV/atom
ΔE_f ... 7.0 kJ/mol of formula units
DOS(E_F) ... 0.56 states/eV per atom